First-principles (PBE-GGA) data for a relaxed structure of CoAg2W, as listed in Alexandria via LeMat-Bulk.

The structure in extended XYZ format:
```
4
Lattice="-5.077 0.921 -1.606 -1.612 -2.191 -4.670 1.778 -0.631 5.064" Properties=species:S:1:pos:R:3 pbc="T T T"
Ag -1.727 -1.754 -1.501
Ag -6.655 -1.263 -6.243
Co -3.462 -0.657 -3.248
W -3.102 -0.131 0.366
```

Calculated values
The value obtained for the relative energy among the computed polymorphs is 298.4 meV per atom. For the calculated total energy, the calculation gives -0.214 hartree per atom.